ReSi2P | PBE | optimized geometry

POSCAR file:
```
ReSi2P
1.0
5.533 0.000 0.000
0.000 5.533 0.000
2.767 2.767 5.157
Re Si P
2 4 2
direct
0.000 0.000 0.000 Re
0.750 0.250 0.500 Re
0.618 0.125 0.250 Si
0.132 0.625 0.250 Si
0.375 0.382 0.750 Si
0.875 0.868 0.750 Si
0.500 0.500 0.000 P
0.250 0.750 0.500 P
```

Summary:
Theoretical density = 5.7 g/cm3
Total magnetic moment = 0.0 μB/f.u.
Symmetry = I-42d, No. 122
Formation energy from raw total energies = 0.4945 eV/atom

---

ReSi2P | PBE | optimized geometry

POSCAR file:
```
ReSi2P
1.0
-1.954 -1.888 1.711
-0.822 -1.574 -2.675
3.918 -3.356 0.772
P Re Si
1 1 2
direct
0.500 0.500 0.250 P
0.500 0.500 0.750 Re
0.000 0.000 0.012 Si
0.000 0.000 0.488 Si
```

Summary:
Theoretical density = 8.4 g/cm3
Total magnetic moment = 0.0 μB/f.u.
Symmetry = P4/mmm, No. 123
Formation energy from raw total energies = 0.2424 eV/atom